Compound: NaHoZnTe3
Source: OQMD via LeMat-Bulk
Functional: PBE
Structure: optimized geometry Values from VASP.

Geometry as Quantum ESPRESSO input:
```
&SYSTEM
  ibrav = 0, nat = 24, ntyp = 4
/
ATOMIC_SPECIES
Te 127.60 Te.upf
Ho 164.93 Ho.upf
Zn 65.41 Zn.upf
Na 22.99 Na.upf
ATOMIC_POSITIONS crystal
Te 0.2420 0.7500 0.6654
Ho 0.9908 0.7500 0.7474
Te 0.0571 0.2500 0.8869
Te 0.9240 0.2500 0.6089
Zn 0.2426 0.2500 0.7800
Te 0.7580 0.2500 0.3346
Te 0.5571 0.2500 0.6131
Na 0.2362 0.7500 0.9843
Zn 0.7574 0.7500 0.2200
Te 0.7420 0.7500 0.8346
Ho 0.5092 0.2500 0.2474
Te 0.4429 0.7500 0.3869
Zn 0.7426 0.2500 0.7200
Te 0.5760 0.7500 0.1089
Zn 0.2574 0.7500 0.2800
Te 0.9429 0.7500 0.1131
Na 0.2638 0.2500 0.4843
Na 0.7362 0.7500 0.5157
Ho 0.4908 0.7500 0.7526
Te 0.2580 0.2500 0.1654
Ho 0.0092 0.2500 0.2526
Te 0.0760 0.7500 0.3911
Na 0.7638 0.2500 0.0157
Te 0.4240 0.2500 0.8911
CELL_PARAMETERS angstrom
-4.7516 -2.5582 -10.2392
-3.2848 -1.9112 2.0018
-7.2956 12.7487 0.2005
```

Magnetization, μB per formula unit: 0.0
Crystal system: orthorhombic
Energy above the most stable polymorph in this dataset, meV/atom: 0